*w*
First-principles (PBE-GGA) data for crystalline TcSeBr2 at its relaxed geometry, as listed in the Alexandria database.

Results
Symmetry: R-3m
M_tot (μB per formula unit): 1.37

```
data_TcSeBr2
_cell_length_a 3.3261
_cell_length_b 3.3261
_cell_length_c 32.0374
_cell_angle_alpha 90.00
_cell_angle_beta 90.00
_cell_angle_gamma 120.00
_space_group_name_H-M_alt 'P 1'
_space_group_IT_number 1
_space_group_name_Hall 'P 1'
loop_
_atom_site_label
_atom_site_fract_x
_atom_site_fract_y
_atom_site_fract_z
Tc1 0.0000 0.0000 0.0000
Tc2 0.3333 0.6667 0.6667
Tc3 0.6667 0.3333 0.3333
Se1 0.0000 0.0000 0.5000
Se2 0.3333 0.6667 0.1667
Se3 0.6667 0.3333 0.8333
Br1 0.0000 0.0000 0.3870
Br2 0.0000 0.0000 0.6130
Br3 0.3333 0.6667 0.0537
Br4 0.3333 0.6667 0.2796
Br5 0.6667 0.3333 0.7204
Br6 0.6667 0.3333 0.9463
```

***

*x*
First-principles (PBE-GGA) data for crystalline TcSeBr2 at its relaxed geometry, as listed in the Alexandria database.

Results
Symmetry: P4mm
M_tot (μB per formula unit): 0.20

```
data_TcSeBr2
_cell_length_a 3.0767
_cell_length_b 3.0767
_cell_length_c 10.0661
_cell_angle_alpha 90.00
_cell_angle_beta 90.00
_cell_angle_gamma 90.00
_space_group_name_H-M_alt 'P 1'
_space_group_IT_number 1
_space_group_name_Hall 'P 1'
loop_
_atom_site_label
_atom_site_fract_x
_atom_site_fract_y
_atom_site_fract_z
Tc1 0.0000 0.0000 0.0000
Se1 0.5000 0.5000 0.8566
Br1 0.0000 0.0000 0.5174
Br2 0.5000 0.5000 0.1746
```

***

*y*
First-principles (PBE-GGA) data for crystalline TcSeBr2 at its relaxed geometry, as listed in the Alexandria database.

Results
Symmetry: Amm2
M_tot (μB per formula unit): 0.89

```
data_TcSeBr2
_cell_length_a 3.5930
_cell_length_b 5.0559
_cell_length_c 12.0550
_cell_angle_alpha 90.00
_cell_angle_beta 90.00
_cell_angle_gamma 90.00
_space_group_name_H-M_alt 'P 1'
_space_group_IT_number 1
_space_group_name_Hall 'P 1'
loop_
_atom_site_label
_atom_site_fract_x
_atom_site_fract_y
_atom_site_fract_z
Tc1 0.0000 0.0000 0.0000
Tc2 0.0000 0.5000 0.5000
Se1 0.5000 0.0000 0.1289
Se2 0.5000 0.5000 0.6289
Br1 0.0000 0.0000 0.4508
Br2 0.0000 0.5000 0.9508
Br3 0.5000 0.0000 0.8345
Br4 0.5000 0.5000 0.3345
```

***

Relative energies with respect to the most stable structure, expressed in meV per atom: *w* 530; *x* 252; *y* 0.

***

*w*
First-principles (PBE-GGA) data for crystalline Tc2SeBr at its relaxed geometry, as listed in the Alexandria database.

Results
Symmetry: P4/mmm
M_tot (μB per formula unit): 0.00

```
data_Tc2SeBr
_cell_length_a 3.1451
_cell_length_b 3.1451
_cell_length_c 6.4721
_cell_angle_alpha 90.00
_cell_angle_beta 90.00
_cell_angle_gamma 90.00
_space_group_name_H-M_alt 'P 1'
_space_group_IT_number 1
_space_group_name_Hall 'P 1'
loop_
_atom_site_label
_atom_site_fract_x
_atom_site_fract_y
_atom_site_fract_z
Tc1 0.0000 0.0000 0.2215
Tc2 0.0000 0.0000 0.7785
Se1 0.5000 0.5000 0.0000
Br1 0.5000 0.5000 0.5000
```

***

*x*
First-principles (PBE-GGA) data for crystalline Tc2SeBr at its relaxed geometry, as listed in the Alexandria database.

Results
Symmetry: I-4m2
M_tot (μB per formula unit): 0.01

```
data_Tc2SeBr
_cell_length_a 4.0040
_cell_length_b 4.0040
_cell_length_c 8.3133
_cell_angle_alpha 90.00
_cell_angle_beta 90.00
_cell_angle_gamma 90.00
_space_group_name_H-M_alt 'P 1'
_space_group_IT_number 1
_space_group_name_Hall 'P 1'
loop_
_atom_site_label
_atom_site_fract_x
_atom_site_fract_y
_atom_site_fract_z
Tc1 0.0000 0.0000 0.0000
Tc2 0.0000 0.5000 0.2500
Tc3 0.5000 0.0000 0.7500
Tc4 0.5000 0.5000 0.5000
Se1 0.0000 0.0000 0.5000
Se2 0.5000 0.5000 0.0000
Br1 0.0000 0.5000 0.7500
Br2 0.5000 0.0000 0.2500
```

***

Relative energies with respect to the most stable structure, expressed in meV per atom: *w* 0; *x* 368.

***

*w*
First-principles (PBE-GGA) data for crystalline TcSe4Br at its relaxed geometry, as listed in the Alexandria database.

Results
Symmetry: F-43m
M_tot (μB per formula unit): 4.30

```
data_TcSe4Br
_cell_length_a 5.7319
_cell_length_b 5.7319
_cell_length_c 5.7319
_cell_angle_alpha 60.00
_cell_angle_beta 60.00
_cell_angle_gamma 60.00
_space_group_name_H-M_alt 'P 1'
_space_group_IT_number 1
_space_group_name_Hall 'P 1'
loop_
_atom_site_label
_atom_site_fract_x
_atom_site_fract_y
_atom_site_fract_z
Tc1 0.0000 0.0000 0.0000
Se1 0.3742 0.3742 0.3742
Se2 0.3742 0.3742 0.8774
Se3 0.3742 0.8774 0.3742
Se4 0.8774 0.3742 0.3742
Br1 0.7500 0.7500 0.7500
```

***

*x*
First-principles (PBE-GGA) data for crystalline TcSe4Br at its relaxed geometry, as listed in the Alexandria database.

Results
Symmetry: C2/c
M_tot (μB per formula unit): 0.00

```
data_TcSe4Br
_cell_length_a 7.9014
_cell_length_b 7.9014
_cell_length_c 6.7546
_cell_angle_alpha 102.29
_cell_angle_beta 102.29
_cell_angle_gamma 116.98
_space_group_name_H-M_alt 'P 1'
_space_group_IT_number 1
_space_group_name_Hall 'P 1'
loop_
_atom_site_label
_atom_site_fract_x
_atom_site_fract_y
_atom_site_fract_z
Tc1 0.0004 0.9996 0.2500
Tc2 0.9996 0.0004 0.7500
Se1 0.0849 0.7985 0.9695
Se2 0.1560 0.2936 0.6115
Se3 0.2015 0.9151 0.5305
Se4 0.2936 0.1560 0.1115
Se5 0.7064 0.8440 0.8885
Se6 0.7985 0.0849 0.4695
Se7 0.8440 0.7064 0.3885
Se8 0.9151 0.2015 0.0305
Br1 0.4036 0.5964 0.2500
Br2 0.5964 0.4036 0.7500
```

***

Relative energies with respect to the most stable structure, expressed in meV per atom: *w* 1088; *x* 0.